A relaxed structure of HfBeSiOs, computed with GGA-PBE.

Cell lengths 6.0955, 6.0955, 6.0955 Å; angles 90.00, 90.00, 90.00 degrees
Atoms (fractional coordinates):
Hf: 0.0000 0.0000 0.0000
Hf: 0.0000 0.5000 0.5000
Hf: 0.5000 0.0000 0.5000
Hf: 0.5000 0.5000 0.0000
Be: 0.2500 0.2500 0.2500
Be: 0.2500 0.7500 0.7500
Be: 0.7500 0.2500 0.7500
Be: 0.7500 0.7500 0.2500
Si: 0.0000 0.0000 0.5000
Si: 0.0000 0.5000 0.0000
Si: 0.5000 0.0000 0.0000
Si: 0.5000 0.5000 0.5000
Os: 0.2500 0.2500 0.7500
Os: 0.2500 0.7500 0.2500
Os: 0.7500 0.2500 0.2500
Os: 0.7500 0.7500 0.7500

Summary:
**SG**: F-43m
**Excess energy over the best structure of this formula in the dataset**: 30 meV per atom